1.
Compound: PmSm3Ru
Source: the Alexandria database
Functional: GGA-PBE
Structure: optimized geometry

Summary:
V in Å³/cell: 166
E_form in eV per atom: 0.00
Space group: No. 221
E above lowest polymorph in eV/f.u.: 0.84

```
PmSm3Ru
1.0
5.493 0.000 0.000
0.000 5.493 0.000
0.000 0.000 5.493
Sm Ru Pm
3 1 1
direct
0.000 0.500 0.000
0.000 0.000 0.500
0.500 0.000 0.000
0.000 0.000 0.000
0.500 0.500 0.500
```

=====

2.
Compound: Ba2NaMgSi
Source: the Alexandria database
Functional: GGA-PBE
Structure: optimized geometry

Summary:
V in Å³/cell: 221
Space group: No. 123
Formation energy without anion corrections in eV/atom: -0.05

```
Ba2NaMgSi
1.0
-3.788 5.364 -0.514
-4.880 -3.148 3.108
1.765 1.675 4.467
Mg Na Ba Si
1 1 2 1
direct
0.000 0.000 0.500
0.500 0.500 0.500
0.000 0.500 0.000
0.500 0.000 0.000
0.000 0.000 0.000
```

=====

3.
Compound: GaFeBi
Source: the Alexandria database
Functional: GGA-PBE
Structure: optimized geometry

Summary:
V in Å³/cell: 125
E_form in eV per atom: 0.31
Space group: No. 38

```
GaFeBi
1.0
-1.342 0.577 3.055
2.693 -2.023 -0.312
7.613 9.907 1.473
Fe Ga Bi
2 2 2
direct
0.611 0.222 0.624
0.611 0.222 0.376
0.278 0.555 0.500
0.612 0.224 0.000
0.277 0.555 0.221
0.277 0.555 0.779
```

=====

> Which of these has the lowest V?

GaFeBi

=====

Copy entry 1 word for word.
Compound: PmSm3Ru
Source: the Alexandria database
Functional: GGA-PBE
Structure: optimized geometry

Summary:
V in Å³/cell: 166
E_form in eV per atom: 0.00
Space group: No. 221
E above lowest polymorph in eV/f.u.: 0.84

```
PmSm3Ru
1.0
5.493 0.000 0.000
0.000 5.493 0.000
0.000 0.000 5.493
Sm Ru Pm
3 1 1
direct
0.000 0.500 0.000
0.000 0.000 0.500
0.500 0.000 0.000
0.000 0.000 0.000
0.500 0.500 0.500
```

=====

Please write out number 2 again, unchanged.
Compound: Ba2NaMgSi
Source: the Alexandria database
Functional: GGA-PBE
Structure: optimized geometry

Summary:
V in Å³/cell: 221
Space group: No. 123
Formation energy without anion corrections in eV/atom: -0.05

```
Ba2NaMgSi
1.0
-3.788 5.364 -0.514
-4.880 -3.148 3.108
1.765 1.675 4.467
Mg Na Ba Si
1 1 2 1
direct
0.000 0.000 0.500
0.500 0.500 0.500
0.000 0.500 0.000
0.500 0.000 0.000
0.000 0.000 0.000
```

=====

> Look up the V of the third one.

125 Å³/cell